Run P
DFT (PBE with a Hubbard U) results for a relaxed ReSnW2F crystal.

Cell lengths 4.2769, 4.6014, 4.2769 Å; angles 90.00, 90.00, 90.00 degrees
Closest atoms and distances in Å follow each position.
Positions (direct):
Re: 0.0000 0.5000 0.0000  2 F 2.30
Sn: 0.5000 0.5000 0.5000  4 Re 3.02, 8 W 3.14
W: 0.0000 0.0000 0.5000  2 F 2.14
W: 0.5000 0.0000 0.0000  2 F 2.14
F: 0.0000 0.0000 0.0000  4 W 2.14, 2 Re 2.30

Output
SG: P4/mmm
Theoretical density, g/cm³: 13.6



Run Q
DFT (PBE with a Hubbard U) results for a relaxed ReSnW2F crystal.

Cell lengths 5.1575, 4.0349, 5.1575 Å; angles 90.00, 90.00, 90.00 degrees
Closest atoms and distances in Å follow each position.
Positions (direct):
Re: 0.0000 0.0000 0.0000  2 F 2.02
Sn: 0.5000 0.5000 0.5000  8 W 3.27, 4 F 3.65
W: 0.0000 0.0000 0.5000  2 Re 2.58
W: 0.5000 0.0000 0.0000  2 Re 2.58
F: 0.0000 0.5000 0.0000  2 Re 2.02

Output
SG: P4/mmm
Theoretical density, g/cm³: 10.7



How do the structures above rank in stability at the extremes? run Q comes first and run P comes last.